ZrMnPCl2 PBE relaxed; space group = P4/mmm (123); polymorph energy (0 for the lowest one) = 235.0 meV per atom; E_form (uncorrected) = -0.26 eV per formula unit; total magnetization = 2.276 μB/f.u.
1.0
4.4718 0.0000 0.0000
0.0000 4.4718 0.0000
0.0000 0.0000 5.0113
Zr Mn P Cl
1 1 1 2
Direct
0.0000 0.0000 0.0000
0.5000 0.5000 0.5000
0.5000 0.5000 0.0000
0.0000 0.5000 0.5000
0.5000 0.0000 0.5000

ZrMnPCl2 PBE relaxed; space group = P4/mmm (123); polymorph energy (0 for the lowest one) = 0.0 meV per atom; E_form (uncorrected) = -1.43 eV per formula unit; total magnetization = 5.374 μB/f.u.
1.0
4.9447 0.0000 0.0000
0.0000 4.9447 0.0000
0.0000 0.0000 5.2400
Zr Mn P Cl
1 1 1 2
Direct
0.0000 0.0000 0.0000
0.5000 0.5000 0.5000
0.0000 0.0000 0.5000
0.0000 0.5000 0.0000
0.5000 0.0000 0.0000

ZrMnP2Cl PBE relaxed; space group = P4/mmm (123); polymorph energy (0 for the lowest one) = 0.0 meV per atom; E_form (uncorrected) = 0.24 eV per formula unit; total magnetization = 3.296 μB/f.u.
1.0
4.5474 0.0000 0.0000
0.0000 4.5474 0.0000
0.0000 0.0000 4.4605
Zr Mn P Cl
1 1 2 1
Direct
0.0000 0.0000 0.0000
0.5000 0.5000 0.5000
0.0000 0.5000 0.5000
0.5000 0.0000 0.5000
0.5000 0.5000 0.0000

ZrMnP2Cl PBE relaxed; space group = P4/mmm (123); polymorph energy (0 for the lowest one) = 77.7 meV per atom; E_form (uncorrected) = 0.63 eV per formula unit; total magnetization = 4.834 μB/f.u.
1.0
5.0675 0.0000 0.0000
0.0000 5.0675 0.0000
0.0000 0.0000 4.9242
Zr Mn P Cl
1 1 2 1
Direct
0.0000 0.0000 0.0000
0.5000 0.5000 0.5000
0.0000 0.5000 0.0000
0.5000 0.0000 0.0000
0.0000 0.0000 0.5000

Pa2MnCl8 PBE relaxed; space group = C2/m (12); E_form (uncorrected) = -16.16 eV per formula unit; total magnetization = 7.205 μB/f.u.
1.0
6.7057 -3.2183 0.0000
6.7057 3.2183 0.0000
-0.3457 0.0000 7.1416
Pa Mn Cl
2 1 8
Direct
0.1140 0.1140 0.4360
0.8860 0.8860 0.5640
0.0000 0.0000 0.0000
0.1805 0.1805 0.0929
0.2099 0.7135 0.2739
0.2865 0.7901 0.7261
0.3009 0.3009 0.5997
0.6991 0.6991 0.4003
0.7135 0.2099 0.2739
0.7901 0.2865 0.7261
0.8195 0.8195 0.9071

PaMn2Cl8 PBE relaxed; space group = C2/m (12); E_form (uncorrected) = -14.91 eV per formula unit; total magnetization = 9.000 μB/f.u.
1.0
6.3132 -4.4475 0.0000
6.3132 4.4475 0.0000
-0.3609 0.0000 6.5039
Pa Mn Cl
1 2 8
Direct
0.0000 0.0000 0.0000
0.2026 0.2026 0.6299
0.7974 0.7974 0.3701
0.1051 0.7054 0.2328
0.1723 0.1723 0.2583
0.2946 0.8949 0.7672
0.3729 0.3729 0.7234
0.6271 0.6271 0.2766
0.7054 0.1051 0.2328
0.8277 0.8277 0.7417
0.8949 0.2946 0.7672

Pa6MnCl15 PBE relaxed; space group = Im-3m (229); E_form (uncorrected) = -34.97 eV per formula unit; total magnetization = 5.311 μB/f.u.
1.0
-5.5061 5.5061 5.5061
5.5061 -5.5061 5.5061
5.5061 5.5061 -5.5061
Pa Mn Cl
6 1 15
Direct
0.0000 0.2399 0.2399
0.0000 0.7601 0.7601
0.2399 0.0000 0.2399
0.2399 0.2399 0.0000
0.7601 0.0000 0.7601
0.7601 0.7601 0.0000
0.0000 0.0000 0.0000
0.0000 0.2479 0.7521
0.0000 0.5000 0.5000
0.0000 0.7521 0.2479
0.2479 0.0000 0.7521
0.2479 0.2479 0.4959
0.2479 0.4959 0.2479
0.2479 0.7521 0.0000
0.4959 0.2479 0.2479
0.5000 0.0000 0.5000
0.5000 0.5000 0.0000
0.5041 0.7521 0.7521
0.7521 0.0000 0.2479
0.7521 0.2479 0.0000
0.7521 0.5041 0.7521
0.7521 0.7521 0.5041

Mn2PbCl PBE relaxed; space group = Imm2 (44); polymorph energy (0 for the lowest one) = 226.2 meV per atom; E_form (uncorrected) = 1.07 eV per formula unit; total magnetization = 8.001 μB/f.u.
1.0
-1.5713 2.6034 5.1036
1.5713 -2.6034 5.1036
1.5713 2.6034 -5.1036
Mn Pb Cl
2 1 1
Direct
0.0000 0.0000 0.0000
0.7783 0.2783 0.5000
0.2861 0.7861 0.5000
0.5848 0.5848 0.0000